Record 1
First-principles (GGA-PBE) data for crystalline Bi6Te at its relaxed geometry, as listed in the Alexandria database.

abc: 7.539 7.539 7.539
angles: 109.47 109.47 109.47
Element x y z (fractional)
1 Bi 0.250 0.750 0.500
2 Bi 0.500 0.750 0.250
3 Bi 0.250 0.500 0.750
4 Bi 0.750 0.250 0.500
5 Bi 0.500 0.250 0.750
6 Bi 0.750 0.500 0.250
7 Te 0.000 0.000 0.000

Properties
As for the raw formation energy: 0.391 eV/atom. The calculation puts the spin magnetization at 0.0 Bohr magnetons per cell. Its space group is Im-3m.

***

Record 2
First-principles (GGA-PBE) data for crystalline Ba4Be at its relaxed geometry, as listed in the Alexandria database.

abc: 6.522 6.522 6.522
angles: 90.00 90.00 90.00
Element x y z (fractional)
1 Be 0.500 0.500 0.500
2 Ba 0.000 0.000 0.000
3 Ba 0.500 0.000 0.500
4 Ba 0.000 0.500 0.500
5 Ba 0.500 0.500 0.000

Properties
The energy above the lowest structure with this stoichiometry is 72 meV per atom. The calculation puts the formation energy at 0.301 eV/atom. The calculation puts the spin magnetization at 0.0 Bohr magnetons per cell. Its space group is Pm-3m.

***

Record 3
First-principles (GGA-PBE) data for crystalline YTl at its relaxed geometry, as listed in the Alexandria database.

abc: 3.690 3.690 4.983
angles: 90.00 90.00 120.00
Each line ends with the local moment (μB).
Element x y z (fractional)
1 Tl 0.000 0.000 0.000  0.00
2 Y 0.667 0.333 0.500  0.15

Properties
The calculation puts the formation energy at -0.227 eV/atom. The calculation puts the spin magnetization at 0.3 Bohr magnetons per cell. Its space group is P-6m2.

***

Record 4
First-principles (GGA-PBE) data for crystalline Sc2VCd at its relaxed geometry, as listed in the Alexandria database.

abc: 3.052 3.052 10.696
angles: 81.80 81.80 60.00
Each line ends with the local moment (μB).
Element x y z (fractional)
1 Sc 0.084 0.084 0.748  0.07
2 Sc 0.916 0.916 0.252  0.07
3 V 0.000 0.000 0.000  1.80
4 Cd 0.500 0.500 0.500  0.01

Properties
The calculation puts the formation energy at 0.442 eV/atom. The calculation puts the spin magnetization at 2.2 Bohr magnetons per cell. Its space group is R-3m.

***

Record 5
First-principles (GGA-PBE) data for crystalline Ca2TlSe at its relaxed geometry, as listed in the Alexandria database.

abc: 6.807 6.807 6.807
angles: 142.48 142.48 54.10
Element x y z (fractional)
1 Tl 0.750 0.250 0.500
2 Ca 0.000 0.000 0.000
3 Ca 0.250 0.750 0.500
4 Se 0.500 0.500 0.000

Properties
As for the raw formation energy: -0.809 eV/atom. The energy above the lowest structure with this stoichiometry is 289 meV per atom. The calculation puts the spin magnetization at 0.0 Bohr magnetons per cell. Its space group is I-4m2.

***

Record 6
First-principles (GGA-PBE) data for crystalline LiTmZr2Rh4 at its relaxed geometry, as listed in the Alexandria database.

abc: 4.588 4.588 7.978
angles: 73.29 73.29 60.00
Element x y z (fractional)
1 Li 0.500 0.500 0.500
2 Tm 0.000 0.000 0.000
3 Zr 0.757 0.757 0.729
4 Zr 0.243 0.243 0.271
5 Rh 0.376 0.376 0.871
6 Rh 0.875 0.875 0.374
7 Rh 0.125 0.125 0.626
8 Rh 0.624 0.624 0.129

Properties
The calculation puts the formation energy at -0.758 eV/atom. The calculation puts the spin magnetization at 0.0 Bohr magnetons per cell. Its space group is R-3m.

***

Record 7
First-principles (GGA-PBE) data for crystalline HgBi2Se4 at its relaxed geometry, as listed in the Alexandria database.

abc: 8.560 8.560 8.567
angles: 59.96 59.96 89.95
Element x y z (fractional)
1 Hg 0.875 0.625 0.750
2 Hg 0.125 0.375 0.250
3 Bi 0.500 0.500 0.500
4 Bi 0.500 0.000 0.500
5 Bi 0.000 0.000 0.000
6 Bi 0.500 0.000 0.000
7 Se 0.255 0.766 0.989
8 Se 0.745 0.234 0.011
9 Se 0.266 0.755 0.489
10 Se 0.255 0.245 0.510
11 Se 0.255 0.245 0.990
12 Se 0.745 0.755 0.490
13 Se 0.734 0.245 0.511
14 Se 0.745 0.755 0.010

Properties
As for the raw formation energy: -0.306 eV/atom. The energy above the lowest structure with this stoichiometry is 0 meV per atom. The calculation puts the spin magnetization at 0.0 Bohr magnetons per cell. Its space group is Imma.

***

Record 8
First-principles (GGA-PBE) data for crystalline KPa2O5 at its relaxed geometry, as listed in the Alexandria database.

abc: 3.665 6.892 6.892
angles: 49.62 74.58 74.58
Each line ends with the local moment (μB).
Element x y z (fractional)
1 K 0.000 0.000 0.000  0.01
2 Pa 0.818 0.682 0.682  0.50
3 Pa 0.182 0.318 0.318  0.50
4 O 0.000 0.500 0.500  -0.02
5 O 0.669 0.573 0.090  -0.02
6 O 0.331 0.427 0.910  -0.02
7 O 0.331 0.910 0.427  -0.02
8 O 0.669 0.090 0.573  -0.02

Properties
As for the raw formation energy: -3.209 eV/atom. The calculation puts the spin magnetization at 1.0 Bohr magnetons per cell. Its space group is Immm.

***

Record 9
First-principles (GGA-PBE) data for crystalline TlTcCl2 at its relaxed geometry, as listed in the Alexandria database.

abc: 3.460 3.460 8.115
angles: 90.00 90.00 90.00
Each line ends with the local moment (μB).
Element x y z (fractional)
1 Tl 0.500 0.500 0.737  0.04
2 Tc 0.000 0.000 0.488  3.16
3 Cl 0.000 0.000 0.944  0.04
4 Cl 0.500 0.500 0.331  0.16

Properties
As for the raw formation energy: 0.187 eV/atom. The energy above the lowest structure with this stoichiometry is 349 meV per atom. The calculation puts the spin magnetization at 3.8 Bohr magnetons per cell. Its space group is P4mm.

***

Record 10
First-principles (GGA-PBE) data for crystalline HfSc2O at its relaxed geometry, as listed in the Alexandria database.

abc: 9.035 9.035 9.035
angles: 21.43 21.43 21.43
Each line ends with the local moment (μB).
Element x y z (fractional)
1 Sc 0.929 0.929 0.929  0.13
2 Sc 0.071 0.071 0.071  0.13
3 Hf 0.500 0.500 0.500  0.10
4 O 0.000 0.000 0.000  -0.01

Properties
As for the raw formation energy: -0.991 eV/atom. The calculation puts the spin magnetization at 0.6 Bohr magnetons per cell. Its space group is R-3m.

***

Record 11
First-principles (GGA-PBE) data for crystalline KUMn2Te4 at its relaxed geometry, as listed in the Alexandria database.

abc: 7.408 6.930 6.930
angles: 69.25 57.69 57.69
Each line ends with the local moment (μB).
Element x y z (fractional)
1 K 0.000 0.000 0.000  0.01
2 U 0.500 0.500 0.500  -2.40
3 Mn 0.178 0.322 0.322  4.01
4 Mn 0.822 0.678 0.678  4.01
5 Te 0.473 0.068 0.528  0.05
6 Te 0.069 0.932 0.472  0.05
7 Te 0.931 0.528 0.068  0.05
8 Te 0.527 0.472 0.932  0.05

Properties
As for the raw formation energy: -0.214 eV/atom. The calculation puts the spin magnetization at 6.5 Bohr magnetons per cell. Its space group is I222.

***

Record 12
First-principles (GGA-PBE) data for crystalline PrLuCoCu at its relaxed geometry, as listed in the Alexandria database.

abc: 4.869 4.869 4.869
angles: 60.00 60.00 60.00
Each line ends with the local moment (μB).
Element x y z (fractional)
1 Pr 0.500 0.500 0.500  -0.04
2 Lu 0.000 0.000 0.000  -0.09
3 Co 0.750 0.750 0.750  0.66
4 Cu 0.250 0.250 0.250  0.00

Properties
The calculation puts the formation energy at -0.116 eV/atom. The calculation puts the spin magnetization at 0.5 Bohr magnetons per cell. Its space group is F-43m.

***

Record 13
First-principles (GGA-PBE) data for crystalline K5Mg at its relaxed geometry, as listed in the Alexandria database.

abc: 9.735 9.735 6.391
angles: 90.00 90.00 143.62
Element x y z (fractional)
1 K 0.345 0.655 0.500
2 K 0.151 0.849 0.000
3 K 0.000 0.000 0.500
4 K 0.849 0.151 0.000
5 K 0.655 0.345 0.500
6 Mg 0.500 0.500 0.000

Properties
The energy above the lowest structure with this stoichiometry is 14 meV per atom. The calculation puts the formation energy at 0.102 eV/atom. The calculation puts the spin magnetization at 0.0 Bohr magnetons per cell. Its space group is Cmmm.